Entry 1:
This record from Alexandria describes crystalline Na4Sm3TiO8 at its relaxed geometry. The functional is PBE.

Unit cell a=11.8551 b=6.8537 c=6.8555 alpha=90.00 beta=125.31 gamma=90.00
Closest atoms and distances in Å follow each position.
Space group C2/m (No. 12)
Unique sites:
Na (0.0000, 0.0000, 0.0000) (multiplicity 2)  6 O 2.60-2.79
Na (0.0000, 0.5000, 0.0000) (multiplicity 2)  6 O 2.50-2.52
Na (0.2500, 0.2500, 0.0000) (multiplicity 4)  6 O 2.51-2.53
Sm (0.0000, 0.0000, 0.5000) (multiplicity 2)  6 O 2.33-2.36
Sm (0.2500, 0.2500, 0.5000) (multiplicity 4)  6 O 2.33-2.38
Ti (0.0000, 0.5000, 0.5000) (multiplicity 2)  6 O 2.06-2.25
O (0.0087, 0.2606, 0.2844) (multiplicity 8)  1 Ti 2.25, 2 Sm 2.34-2.36, 2 Na 2.50-2.51
O (0.2122, 0.5000, 0.6968) (multiplicity 4)  1 Ti 2.06
O (0.2404, 0.0000, 0.7198) (multiplicity 4)  3 Sm 2.33, 3 Na 2.52-2.53

Output
The value obtained for the total magnetic moment is 1.00 μB/f.u. The value obtained for the formation energy from raw total energies is -2.54 eV/atom.

***

Entry 2:
This record from Alexandria describes crystalline Na3Sm3TiO8 at its relaxed geometry. The functional is PBE.

Unit cell a=6.8375 b=6.8375 c=16.7083 alpha=90.00 beta=90.00 gamma=120.00
Closest atoms and distances in Å follow each position.
Space group R-3m (No. 166, hexagonal axes)
Unique sites:
Na (0.0000, 0.5000, 0.0000) (multiplicity 9)  6 O 2.52
Sm (0.0000, 0.5000, 0.5000) (multiplicity 9)  6 O 2.32-2.37
Ti (0.0000, 0.0000, 0.5000) (multiplicity 3)  6 O 2.04
O (0.0000, 0.0000, 0.2391) (multiplicity 6)  3 Sm 2.32, 3 Na 2.52
O (0.0419, 0.5210, 0.2317) (multiplicity 18)  1 Ti 2.04

Output
The value obtained for the total magnetic moment is 0.00 μB/f.u. The value obtained for the formation energy from raw total energies is -2.75 eV/atom.

***

Entry 3:
This record from Alexandria describes crystalline Na2SmTmO4 at its relaxed geometry. The functional is PBE.

Unit cell a=5.9367 b=3.4485 c=5.9795 alpha=90.00 beta=109.63 gamma=90.00
Closest atoms and distances in Å follow each position.
Space group P2/m (No. 10)
Unique sites:
Na (0.0000, 0.0000, 0.0000) (multiplicity 1)  6 O 2.53-2.54
Na (0.0000, 0.5000, 0.5000) (multiplicity 1)  6 O 2.59-2.61
Sm (0.5000, 0.0000, 0.5000) (multiplicity 1)  6 O 2.35-2.36
Tm (0.5000, 0.5000, 0.0000) (multiplicity 1)  6 O 2.27-2.29
O (0.2872, 0.5000, 0.2522) (multiplicity 2)  1 Tm 2.27, 2 Sm 2.35, 2 Na 2.54
O (0.2899, 0.0000, 0.7722) (multiplicity 2)  2 Tm 2.29, 1 Sm 2.36, 1 Na 2.53

Output
The value obtained for the total magnetic moment is 0.00 μB/f.u. The value obtained for the formation energy from raw total energies is -2.76 eV/atom.

***

Entry 4:
This record from Alexandria describes crystalline Na3SmTm2O6 at its relaxed geometry. The functional is PBE.

Unit cell a=5.9258 b=10.2684 c=5.9204 alpha=90.00 beta=109.44 gamma=90.00
Closest atoms and distances in Å follow each position.
Space group C2/m (No. 12)
Unique sites:
Na (0.0000, 0.0000, 0.0000) (multiplicity 2)  6 O 2.50-2.58
Na (0.0000, 0.3292, 0.0000) (multiplicity 4)  6 O 2.48-2.61
Sm (0.0000, 0.5000, 0.5000) (multiplicity 2)  6 O 2.35-2.36
Tm (0.0000, 0.1665, 0.5000) (multiplicity 4)  6 O 2.27
O (0.2256, 0.0000, 0.7112) (multiplicity 4)  2 Tm 2.27, 1 Sm 2.36, 1 Na 2.50
O (0.2420, 0.3278, 0.7098) (multiplicity 8)  2 Tm 2.27, 1 Sm 2.35, 1 Na 2.48

Output
The value obtained for the total magnetic moment is 0.00 μB/f.u. The value obtained for the formation energy from raw total energies is -2.80 eV/atom.

***

Entry 5:
This record from Alexandria describes crystalline Na3Sm3UO8 at its relaxed geometry. The functional is PBE.

Unit cell a=7.0706 b=7.0706 c=16.9435 alpha=90.00 beta=90.00 gamma=120.00
Closest atoms and distances in Å follow each position.
Space group R-3m (No. 166, hexagonal axes)
Unique sites:
Na (0.0000, 0.5000, 0.0000) (multiplicity 9)  6 O 2.60
Sm (0.0000, 0.5000, 0.5000) (multiplicity 9)  6 O 2.37-2.39
U (0.0000, 0.0000, 0.5000) (multiplicity 3)  6 O 2.23
O (0.0000, 0.0000, 0.2380) (multiplicity 6)  3 Sm 2.37, 3 Na 2.60
O (0.0201, 0.5100, 0.2338) (multiplicity 18)  1 U 2.23, 2 Sm 2.39

Output
The value obtained for the total magnetic moment is 2.00 μB/f.u. The value obtained for the formation energy from raw total energies is -2.74 eV/atom.

***

Entry 6:
This record from Alexandria describes crystalline Na2SmUO6 at its relaxed geometry. The functional is PBE.

Unit cell a=5.8570 b=6.0100 c=10.2276 alpha=90.00 beta=124.86 gamma=90.00
Closest atoms and distances in Å follow each position.
Space group P2_1/c (No. 14)
Unique sites:
Na (0.2410, 0.0379, 0.2474) (multiplicity 4)  4 O 2.41-2.58
Sm (0.0000, 0.0000, 0.5000) (multiplicity 2)  6 O 2.31-2.34
U (0.5000, 0.0000, 0.0000) (multiplicity 2)  6 O 2.06-2.07
O (0.1602, 0.1827, 0.9493) (multiplicity 4)  1 U 2.06
O (0.2640, 0.7137, 0.9413) (multiplicity 4)  1 U 2.07
O (0.3697, 0.0466, 0.7659) (multiplicity 4)  1 U 2.07

Output
The value obtained for the total magnetic moment is 0.97 μB/f.u. The value obtained for the formation energy from raw total energies is -2.60 eV/atom.

***

Entry 7:
This record from Alexandria describes crystalline Na2Sm2UO6 at its relaxed geometry. The functional is PBE.

Unit cell a=6.1237 b=10.6622 c=5.9458 alpha=90.00 beta=108.50 gamma=90.00
Closest atoms and distances in Å follow each position.
Space group C2/m (No. 12)
Unique sites:
Na (0.0000, 0.1667, 0.0000) (multiplicity 4)  6 O 2.53-2.71
Sm (0.0000, 0.3346, 0.5000) (multiplicity 4)  6 O 2.31-2.41
U (0.0000, 0.0000, 0.5000) (multiplicity 2)  6 O 2.17-2.32
O (0.2157, 0.1679, 0.7010) (multiplicity 8)  2 Sm 2.31-2.40, 1 U 2.32, 1 Na 2.53
O (0.2417, 0.0000, 0.3014) (multiplicity 4)  1 U 2.17, 2 Sm 2.41

Output
The value obtained for the total magnetic moment is 2.00 μB/f.u. The value obtained for the formation energy from raw total energies is -2.76 eV/atom.

***

Entry 8:
This record from Alexandria describes crystalline NaSm2UO6 at its relaxed geometry. The functional is PBE.

Unit cell a=5.9617 b=5.9617 c=15.4607 alpha=90.00 beta=90.00 gamma=120.00
Closest atoms and distances in Å follow each position.
Space group R3 (No. 146, hexagonal axes)
Unique sites:
Na (0.0000, 0.0000, 0.0000) (multiplicity 3)  6 O 2.43-2.65
Sm (0.0000, 0.0000, 0.2718) (multiplicity 3)  6 O 2.32-2.46
Sm (0.0000, 0.0000, 0.7801) (multiplicity 3)  6 O 2.30-2.44
U (0.0000, 0.0000, 0.4838) (multiplicity 3)  6 O 2.16-2.18
O (0.0145, 0.7359, 0.3915) (multiplicity 9)  1 U 2.16, 1 Sm 2.30
O (0.0286, 0.3403, 0.5466) (multiplicity 9)  1 U 2.18, 2 Sm 2.32-2.44

Output
The value obtained for the total magnetic moment is 1.00 μB/f.u. The value obtained for the formation energy from raw total energies is -3.12 eV/atom.

***

- What is the formula in the first record?
  Na4Sm3TiO8

***

- total magnetic moment of number 5 (Na3Sm3UO8)?
  2.00 μB/f.u.